Record 1
Ac6PmDy3: optimized geometry, GGA-PBE.

a = 13.9823 Å, b = 3.7771 Å, c = 16.0733 Å
α = 90.00°, β = 109.00°, γ = 90.00°
Space group P2_1/m (No. 11)
One atom of each set of equivalent atoms:
1 Ac 0.0171 0.2500 0.4031
2 Ac 0.0498 0.7500 0.1997
3 Ac 0.2053 0.7500 0.8069
4 Ac 0.3278 0.7500 0.2222
5 Ac 0.3780 0.2500 0.0188
6 Ac 0.4552 0.7500 0.5940
7 Pm 0.4291 0.2500 0.7985
8 Dy 0.1127 0.7500 0.9974
9 Dy 0.2202 0.2500 0.6084
10 Dy 0.2700 0.2500 0.3985

---

Record 2
Ac2PmDy: optimized geometry, GGA-PBE.

a = 3.7266 Å, b = 3.7266 Å, c = 39.4113 Å
α = 90.00°, β = 90.00°, γ = 120.00°
Space group R-3m (No. 166, hexagonal axes)
One atom of each set of equivalent atoms:
1 Ac 0.0000 0.0000 0.0878
2 Pm 0.0000 0.0000 0.5000
3 Dy 0.0000 0.0000 0.0000

Its energy relative to the lowest polymorph listed for this composition is 19.7 kJ/mol of atoms.

---

Record 3
Ac2Pm2Dy: optimized geometry, GGA-PBE.

a = 4.9380 Å, b = 4.9380 Å, c = 16.6888 Å
α = 90.00°, β = 90.00°, γ = 90.00°
Space group I4/mmm (No. 139)
One atom of each set of equivalent atoms:
1 Ac 0.0000 0.5000 0.2500
2 Pm 0.0000 0.0000 0.0907
3 Dy 0.0000 0.0000 0.5000

Its energy relative to the lowest polymorph listed for this composition is 23.8 kJ/mol of atoms.

---

Record 4
Ac2Pm5Dy5: optimized geometry, GGA-PBE.

a = 15.5961 Å, b = 5.1571 Å, c = 11.5980 Å
α = 90.00°, β = 116.73°, γ = 90.00°
Space group C2/m (No. 12)
One atom of each set of equivalent atoms:
1 Ac 0.0826 0.0000 0.2506
2 Pm 0.0000 0.0000 0.5000
3 Pm 0.1683 0.0000 0.0005
4 Pm 0.2452 0.0000 0.7473
5 Dy 0.0000 0.5000 0.0000
6 Dy 0.0860 0.5000 0.7498
7 Dy 0.1661 0.5000 0.5024

---

Record 5
AcPm2Pr2Dy2: optimized geometry, GGA-PBE.

a = 11.6649 Å, b = 5.2031 Å, c = 8.2693 Å
α = 90.00°, β = 98.11°, γ = 90.00°
Space group C2/m (No. 12)
One atom of each set of equivalent atoms:
1 Ac 0.0000 0.0000 0.0000
2 Pm 0.1415 0.0000 0.4321
3 Pr 0.2149 0.5000 0.1493
4 Dy 0.0736 0.5000 0.7068

---

Record 6
AcPmPrDy: optimized geometry, GGA-PBE.

a = 5.2669 Å, b = 5.2669 Å, c = 10.5737 Å
α = 90.00°, β = 90.00°, γ = 90.00°
Space group I-4m2 (No. 119)
One atom of each set of equivalent atoms:
1 Ac 0.0000 0.0000 0.0000
2 Pm 0.0000 0.5000 0.7500
3 Pr 0.0000 0.5000 0.2500
4 Dy 0.0000 0.0000 0.5000

Its energy relative to the lowest polymorph listed for this composition is 0.0 kJ/mol of atoms.

---

Record 7
Ac2Pm2PrDy: optimized geometry, GGA-PBE.

a = 7.3670 Å, b = 5.9448 Å, c = 10.2600 Å
α = 90.00°, β = 90.00°, γ = 90.00°
Space group Pmma (No. 51)
One atom of each set of equivalent atoms:
1 Ac 0.0000 0.0000 0.0000
2 Ac 0.2500 0.5000 0.1729
3 Pm 0.2500 0.0000 0.3430
4 Pm 0.2500 0.5000 0.8267
5 Pr 0.0000 0.5000 0.5000
6 Dy 0.2500 0.0000 0.6647

---

Record 8
AcPm2Pr2Dy: optimized geometry, GGA-PBE.

a = 5.8501 Å, b = 10.1037 Å, c = 7.3029 Å
α = 90.00°, β = 90.00°, γ = 90.00°
Space group Pmc2_1 (No. 26)
One atom of each set of equivalent atoms:
1 Ac 0.0000 0.9999 0.0000
2 Pm 0.0000 0.3360 0.2506
3 Pm 0.5000 0.1711 0.7499
4 Pr 0.0000 0.3344 0.7507
5 Pr 0.5000 0.5000 0.0006
6 Dy 0.5000 0.1676 0.2498

---

Record 9
Ac2Pm4PrDy: optimized geometry, GGA-PBE.

a = 14.1467 Å, b = 13.7792 Å, c = 7.1787 Å
α = 90.00°, β = 120.46°, γ = 90.00°
Space group C2/c (No. 15)
One atom of each set of equivalent atoms:
1 Ac 0.0000 0.0000 0.0000
2 Ac 0.2500 0.2500 0.0000
3 Pm 0.9999 0.2630 0.0150
4 Pm 0.2341 0.4918 0.4819
5 Pr 0.2500 0.2500 0.5000
6 Dy 0.0000 0.5000 0.0000

---

Record 10
AcPm5PrDy2: optimized geometry, GGA-PBE.

a = 5.6364 Å, b = 24.2217 Å, c = 9.5429 Å
α = 90.00°, β = 90.00°, γ = 90.00°
Space group Cmc2_1 (No. 36)
One atom of each set of equivalent atoms:
1 Ac 0.0000 0.1023 0.0000
2 Pm 0.0000 0.0246 0.3250
3 Pm 0.0000 0.1031 0.6057
4 Pm 0.0000 0.1889 0.3011
5 Pm 0.0000 0.2412 0.9330
6 Pm 0.0000 0.4930 0.1033
7 Pr 0.0000 0.2638 0.6088
8 Dy 0.0000 0.3293 0.2460
9 Dy 0.0000 0.3880 0.8623

---

Record 11
AcPmPrDy3: optimized geometry, GGA-PBE.

a = 20.3801 Å, b = 5.7388 Å, c = 7.2772 Å
α = 90.00°, β = 90.29°, γ = 90.00°
Space group C2/m (No. 12)
One atom of each set of equivalent atoms:
1 Ac 0.1465 0.0000 0.0375
2 Pm 0.0547 0.5000 0.2769
3 Pr 0.1477 0.0000 0.4761
4 Dy 0.0208 0.0000 0.7363
5 Dy 0.1640 0.5000 0.7404
6 Dy 0.2196 0.5000 0.2582

---

Record 12
Ac2Pm2Pr4Dy: optimized geometry, GGA-PBE.

a = 19.4854 Å, b = 3.7783 Å, c = 10.1040 Å
α = 90.00°, β = 115.62°, γ = 90.00°
Space group C2/m (No. 12)
One atom of each set of equivalent atoms:
1 Ac 0.1464 0.0000 0.1683
2 Pm 0.1646 0.5000 0.5032
3 Pr 0.0176 0.5000 0.8183
4 Pr 0.1834 0.0000 0.8281
5 Dy 0.0000 0.0000 0.5000

---

Record 13
Ac2PmPr4Dy2: optimized geometry, GGA-PBE.

a = 17.7269 Å, b = 3.7204 Å, c = 10.1994 Å
α = 90.00°, β = 99.20°, γ = 90.00°
Space group C2/m (No. 12)
One atom of each set of equivalent atoms:
1 Ac 0.1632 0.0000 0.0852
2 Pm 0.0000 0.0000 0.5000
3 Pr 0.0113 0.5000 0.8212
4 Pr 0.1697 0.0000 0.7226
5 Dy 0.1660 0.5000 0.4217

---

Record 14
AcPm2PrDy4: optimized geometry, GGA-PBE.

a = 6.9483 Å, b = 12.0179 Å, c = 13.4885 Å
α = 90.00°, β = 90.00°, γ = 90.00°
Space group Imma (No. 74)
One atom of each set of equivalent atoms:
1 Ac 0.0000 0.0000 0.0000
2 Pm 0.0000 0.0000 0.5000
3 Pm 0.2500 0.2500 0.2500
4 Pr 0.2500 0.2500 0.7500
5 Dy 0.0000 0.0020 0.2579
6 Dy 0.2370 0.2500 0.4982

---

Record 15
Ac2Pm4Pr2Dy: optimized geometry, GGA-PBE.

a = 19.4356 Å, b = 3.7731 Å, c = 10.0408 Å
α = 90.00°, β = 115.80°, γ = 90.00°
Space group C2/m (No. 12)
One atom of each set of equivalent atoms:
1 Ac 0.1451 0.0000 0.1637
2 Pm 0.0184 0.5000 0.8186
3 Pm 0.1840 0.0000 0.8316
4 Pr 0.1641 0.5000 0.5040
5 Dy 0.0000 0.0000 0.5000

---

Record 16
AcPm3PrDy: optimized geometry, GGA-PBE.

a = 8.2821 Å, b = 5.2363 Å, c = 10.4568 Å
α = 90.00°, β = 108.65°, γ = 90.00°
Space group P2_1/m (No. 11)
One atom of each set of equivalent atoms:
1 Ac 0.1680 0.2500 0.2932
2 Pm 0.1698 0.7500 0.0404
3 Pm 0.1710 0.2500 0.7915
4 Pm 0.1717 0.7500 0.5454
5 Pr 0.4966 0.7500 0.8742
6 Dy 0.4984 0.2500 0.6254

---

Record 17
Ac5Pm2PrDy: optimized geometry, GGA-PBE.

a = 5.9646 Å, b = 21.9620 Å, c = 11.2442 Å
α = 90.00°, β = 90.00°, γ = 90.00°
Space group Cmc2_1 (No. 36)
One atom of each set of equivalent atoms:
1 Ac 0.0000 0.0097 0.0000
2 Ac 0.0000 0.2757 0.3121
3 Ac 0.0000 0.2964 0.6928
4 Ac 0.0000 0.3720 0.0074
5 Ac 0.0000 0.4883 0.7376
6 Pm 0.0000 0.1139 0.2862
7 Pm 0.0000 0.1165 0.7338
8 Pr 0.0000 0.4050 0.4589
9 Dy 0.0000 0.1910 0.0031

---

Record 18
AcPm2PrDy5: optimized geometry, GGA-PBE.

a = 8.8387 Å, b = 8.8387 Å, c = 15.7950 Å
α = 90.00°, β = 90.00°, γ = 90.00°
Space group I4/mcm (No. 140)
One atom of each set of equivalent atoms:
1 Ac 0.0000 0.0000 0.2500
2 Pm 0.1174 0.3826 0.0000
3 Pr 0.0000 0.5000 0.2500
4 Dy 0.0000 0.0000 0.0000
5 Dy 0.2048 0.2952 0.3688

---

Record 19
AcPmPrDy: optimized geometry, GGA-PBE.

a = 8.3712 Å, b = 8.3712 Å, c = 8.3712 Å
α = 90.00°, β = 90.00°, γ = 90.00°
Space group F-43m (No. 216)
One atom of each set of equivalent atoms:
1 Ac 0.0000 0.0000 0.0000
2 Pm 0.2500 0.2500 0.7500
3 Pr 0.0000 0.0000 0.5000
4 Dy 0.2500 0.2500 0.2500

Its energy relative to the lowest polymorph listed for this composition is 7.5 kJ/mol of atoms.

---

Record 20
AcPm6PrDy2: optimized geometry, GGA-PBE.

a = 9.3844 Å, b = 15.4838 Å, c = 9.8238 Å
α = 90.00°, β = 96.15°, γ = 90.00°
Space group C2/c (No. 15)
One atom of each set of equivalent atoms:
1 Ac 0.0000 0.0306 0.2500
2 Pm 0.0664 0.1832 0.9445
3 Pm 0.0983 0.3913 0.1194
4 Pm 0.2135 0.2308 0.3211
5 Pr 0.0000 0.4084 0.7500
6 Dy 0.2469 0.4459 0.4527

---

no.,DFT formation energy (eV/f.u.)
1,1.208
2,0.961
3,2.312
4,0.447
5,0.227
6,0.182
7,0.489
8,0.344
9,3.085
10,1.299
11,1.370
12,0.294
13,0.216
14,3.338
15,0.271
16,0.204
17,1.309
18,2.187
19,0.492
20,1.202